[1]
A plane-wave DFT calculation with GGA-PBE was carried out for a geometry-optimized AcPm3Ho3 structure.

The space group is P6_3/m (No. 176) and the conventional cell measures 9.7641, 9.7641 and 5.8532 Å, with angles of 90.00, 90.00 and 120.00 degrees. The distinct sites, in fractional coordinates, are Ac at (0.3333, 0.6667, 0.2500), Pm at (0.0943, 0.6237, 0.7500) and Ho at (0.0431, 0.8139, 0.2500).

For the total moment, the calculation gives 0.00 μB/cell. For the density of states at the Fermi level, the calculation gives 23.3 states/eV/cell. Its relative energy among the computed polymorphs is 0 meV/atom.

***

[2]
A plane-wave DFT calculation with GGA-PBE was carried out for a geometry-optimized TiInAg structure.

The space group is P3m1 (No. 156) and the conventional cell measures 4.6988, 4.6988 and 3.0019 Å, with angles of 90.00, 90.00 and 120.00 degrees. The distinct sites, in fractional coordinates, are Ti at (0.0000, 0.0000, 0.0000), In at (0.6667, 0.3333, 0.5008) and Ag at (0.3333, 0.6667, 0.4983).

For the total moment, the calculation gives 0.01 μB/cell. For the density of states at the Fermi level, the calculation gives 2.7 states/eV/cell. Its electronic total energy is -13.46 eV per cell.

***

[3]
A plane-wave DFT calculation with GGA-PBE was carried out for a geometry-optimized AlP2Se structure.

The space group is Cm (No. 8) and the conventional cell measures 13.539, 3.378 and 3.838 Å, with angles of 90.00, 106.41 and 90.00 degrees. The distinct sites, in fractional coordinates, are Al at (0.000, 0.000, 0.000), P at (0.130, 0.500, 0.425), P at (0.477, 0.000, 0.510) and Se at (0.235, 0.000, 0.787).

Its energy relative to the elements, uncorrected is 0.25 eV per formula unit. For the total moment, the calculation gives 0.00 μB/cell. For the density of states at the Fermi level, the calculation gives 1.8 states/eV/cell. Its relative energy among the computed polymorphs is 226 meV/atom.

***

[4]
A plane-wave DFT calculation with GGA-PBE was carried out for a geometry-optimized Ga2SiAu8 structure.

The space group is C2/m (No. 12) and the conventional cell measures 16.815, 3.519 and 6.987 Å, with angles of 90.00, 101.58 and 90.00 degrees. The distinct sites, in fractional coordinates, are Ga at (0.158, 0.000, 0.280), Si at (0.000, 0.500, 0.000), Au at (0.000, 0.000, 0.258), Au at (0.096, 0.500, 0.547), Au at (0.149, 0.500, 0.968) and Au at (0.224, 0.000, 0.698).

Its energy relative to the elements, uncorrected is -0.51 eV per formula unit. For the total moment, the calculation gives 0.00 μB/cell. For the density of states at the Fermi level, the calculation gives 6.0 states/eV/cell.

***

[5]
A plane-wave DFT calculation with GGA-PBE was carried out for a geometry-optimized Cu6P8Pb structure.

The space group is Fm-3m (No. 225) and the conventional cell measures 11.052, 11.052 and 11.052 Å, with angles of 90.00, 90.00 and 90.00 degrees. The distinct sites, in fractional coordinates, are Cu at (0.000, 0.250, 0.250), P at (0.155, 0.155, 0.155) and Pb at (0.000, 0.000, 0.000).

For the total moment, the calculation gives 0.00 μB/cell. For the density of states at the Fermi level, the calculation gives 27.9 states/eV/cell. Its electronic total energy is -270.75 eV per cell.

***

[6]
A plane-wave DFT calculation with GGA-PBE was carried out for a geometry-optimized PrI2 structure.

The space group is F-43m (No. 216) and the conventional cell measures 12.597, 12.597 and 12.597 Å, with angles of 90.00, 90.00 and 90.00 degrees. The distinct sites, in fractional coordinates, are Pr at (0.112, 0.112, 0.388), I at (0.127, 0.127, 0.127) and I at (0.138, 0.138, 0.638).

Its energy relative to the elements, uncorrected is -3.91 eV per formula unit. For the total moment, the calculation gives 4.71 μB/cell. For the density of states at the Fermi level, the calculation gives 24.7 states/eV/cell.

***

[7]
A plane-wave DFT calculation with GGA-PBE was carried out for a geometry-optimized BaSr2NiI structure.

The space group is P4/mmm (No. 123) and the conventional cell measures 5.868, 5.868 and 6.108 Å, with angles of 90.00, 90.00 and 90.00 degrees. The distinct sites, in fractional coordinates, are Ba at (0.000, 0.000, 0.000), Sr at (0.000, 0.500, 0.500), Ni at (0.000, 0.000, 0.500) and I at (0.500, 0.500, 0.000).

Its energy relative to the elements, uncorrected is -1.68 eV per formula unit. For the total moment, the calculation gives 0.00 μB/cell. For the density of states at the Fermi level, the calculation gives 3.1 states/eV/cell.

***

[8]
A plane-wave DFT calculation with GGA-PBE was carried out for a geometry-optimized Al2GaSi2Ni5 structure.

The space group is P4/mbm (No. 127) and the conventional cell measures 8.574, 8.574 and 3.410 Å, with angles of 90.00, 90.00 and 90.00 degrees. The distinct sites, in fractional coordinates, are Al at (0.172, 0.328, 0.000), Ga at (0.000, 0.000, 0.000), Si at (0.126, 0.626, 0.000), Ni at (0.000, 0.500, 0.500) and Ni at (0.078, 0.797, 0.500).

Its energy relative to the elements, uncorrected is -3.55 eV per formula unit. For the total moment, the calculation gives 0.00 μB/cell. For the density of states at the Fermi level, the calculation gives 5.7 states/eV/cell.

***

[9]
A plane-wave DFT calculation with GGA-PBE was carried out for a geometry-optimized GaCo structure.

The space group is Pmmn (No. 59, origin choice 2) and the conventional cell measures 2.764, 4.432 and 4.131 Å, with angles of 90.00, 90.00 and 90.00 degrees. The distinct sites, in fractional coordinates, are Ga at (0.250, 0.250, 0.101) and Co at (0.250, 0.750, 0.411).

For the total moment, the calculation gives 1.49 μB/cell. For the density of states at the Fermi level, the calculation gives 4.1 states/eV/cell. Its electronic total energy is -20.58 eV per cell.

***

[10]
A plane-wave DFT calculation with GGA-PBE was carried out for a geometry-optimized MoOs2Rh structure.

The space group is R-3m (No. 166, hexagonal axes) and the conventional cell measures 2.7407, 2.7407 and 27.0602 Å, with angles of 90.00, 90.00 and 120.00 degrees. The distinct sites, in fractional coordinates, are Mo at (0.0000, 0.0000, 0.0000), Os at (0.0000, 0.0000, 0.2494) and Rh at (0.0000, 0.0000, 0.5000).

For the total moment, the calculation gives 0.00 μB/cell. For the density of states at the Fermi level, the calculation gives 9.2 states/eV/cell. Its relative energy among the computed polymorphs is 141 meV/atom.

***

[11]
A plane-wave DFT calculation with GGA-PBE was carried out for a geometry-optimized Ba3ZrSi structure.

The space group is Pm-3m (No. 221) and the conventional cell measures 6.284, 6.284 and 6.284 Å, with angles of 90.00, 90.00 and 90.00 degrees. The distinct sites, in fractional coordinates, are Ba at (0.000, 0.000, 0.500), Zr at (0.500, 0.500, 0.500) and Si at (0.000, 0.000, 0.000).

Its energy relative to the elements, uncorrected is 3.51 eV per formula unit. For the total moment, the calculation gives 0.00 μB/cell. For the density of states at the Fermi level, the calculation gives 18.7 states/eV/cell. Its relative energy among the computed polymorphs is 0 meV/atom.

***

[12]
A plane-wave DFT calculation with GGA-PBE was carried out for a geometry-optimized SmGd2Dy structure.

The space group is P4/mmm (No. 123) and the conventional cell measures 3.582, 3.582 and 10.131 Å, with angles of 90.00, 90.00 and 90.00 degrees. The distinct sites, in fractional coordinates, are Sm at (0.000, 0.000, 0.000), Gd at (0.500, 0.500, 0.253) and Dy at (0.000, 0.000, 0.500).

For the total moment, the calculation gives 14.37 μB/cell. For the density of states at the Fermi level, the calculation gives 7.2 states/eV/cell. Its relative energy among the computed polymorphs is 2 meV/atom.